## Sr8Fe7CoO24 (GGA+U)

Data for a geometry-optimized Sr8Fe7CoO24 structure.

## Properties
Magnetic moment, μB per cell: 33.97
Theoretical density, g cm⁻³: 5.33
Final energy, Ha/atom: -0.231

The structure in CIF format:
```
data_Sr8Fe7CoO24
_chemical_formula_sum 'Sr8 Fe7 Co1 O24'
_cell_length_a 7.821
_cell_length_b 7.821
_cell_length_c 7.821
_cell_angle_alpha 90.00
_cell_angle_beta 90.00
_cell_angle_gamma 90.00
_symmetry_space_group_name_H-M 'P m -3 m'
_symmetry_Int_Tables_number 221
_symmetry_space_group_name_Hall '-P 4 2 3'
loop_
_atom_site_label
_atom_site_type_symbol
_atom_site_fract_x
_atom_site_fract_y
_atom_site_fract_z
_atom_site_occupancy
Sr1 Sr 0.250 0.250 0.250 1
Fe1 Fe 0.000 0.000 0.000 1
Fe2 Fe 0.000 0.000 0.500 1
Fe3 Fe 0.000 0.500 0.500 1
Co1 Co 0.500 0.500 0.500 1
O1 O 0.000 0.000 0.249 1
O2 O 0.000 0.252 0.500 1
O3 O 0.258 0.500 0.500 1
```